{
  "formula": "GdPuZnRu",
  "functional": "PBE-GGA",
  "state": "relaxed",
  "lattice_angstrom": [[0.000, 3.492, 3.492], [3.492, 0.000, 3.492], [3.492, 3.492, 0.000]],
  "species": ["Gd", "Pu", "Zn", "Ru"],
  "frac_coords": [[0.000, 0.000, 0.000], [0.500, 0.500, 0.500], [0.750, 0.750, 0.750], [0.250, 0.250, 0.250]],
  "final_energy_ev_per_cell": -39.59,
  "ef_mev_per_atom": -157.2
}